The following is a DFT calculation (GGA+U) of a relaxed PmVSO2 crystal.

Calculated values
* mass density: 5176 kg/m³
* calculated total energy: -37.76 eV for the cell shown
* total magnetic moment: 2.00 Bohr magnetons per cell

Cell lengths 3.919, 3.919, 5.432 Å; angles 90.00, 90.00, 90.00 degrees
Site moments in Bohr magnetons follow the coordinates.
Fractional positions:
Pm  0.500  0.500  0.673  0.01
V  0.000  0.000  0.007  1.91
S  0.000  0.000  0.459  -0.02
O  0.000  0.500  0.931  -0.02
O  0.500  0.000  0.931  -0.02